# 1
! PBE YTl2B, relaxed; values from VASP
! **Size of the total moment**: 0.0000 μB per atom
! **Distance to the lowest polymorph of the same formula**: 10.220 kcal/mol of atoms
! **VASP energy**: -3.69 eV/atom
! **Symmetry**: No. 225
&SYSTEM
  ibrav = 0, nat = 4, ntyp = 3
/
ATOMIC_SPECIES
B 10.81 B.upf
Tl 204.38 Tl.upf
Y 88.91 Y.upf
CELL_PARAMETERS angstrom
4.837 -1.656 -0.139
1.015 -4.814 -1.397
2.254 -0.937 -4.494
ATOMIC_POSITIONS crystal
B 0.000 0.000 0.000
Tl 0.750 0.750 0.750
Tl 0.250 0.250 0.250
Y 0.500 0.500 0.500


# 2
! PBE YTlB3, relaxed; values from VASP
! **Size of the total moment**: 0.0000 μB per atom
! **Distance to the lowest polymorph of the same formula**: 0.000 kcal/mol of atoms
! **VASP energy**: -3.95 eV/atom
! **Symmetry**: No. 221
&SYSTEM
  ibrav = 0, nat = 5, ntyp = 3
/
ATOMIC_SPECIES
B 10.81 B.upf
Y 88.91 Y.upf
Tl 204.38 Tl.upf
CELL_PARAMETERS angstrom
4.506 0.000 0.000
0.000 4.506 0.000
0.000 0.000 4.506
ATOMIC_POSITIONS crystal
B 0.500 0.000 0.000
B 0.000 0.000 0.500
B 0.000 0.500 0.000
Y 0.500 0.500 0.500
Tl 0.000 0.000 0.000


# 3
! PBE YTlB3, relaxed; values from VASP
! **Size of the total moment**: 0.0000 μB per atom
! **Distance to the lowest polymorph of the same formula**: 4.730 kcal/mol of atoms
! **VASP energy**: -3.75 eV/atom
! **Symmetry**: No. 221
&SYSTEM
  ibrav = 0, nat = 5, ntyp = 3
/
ATOMIC_SPECIES
B 10.81 B.upf
Y 88.91 Y.upf
Tl 204.38 Tl.upf
CELL_PARAMETERS angstrom
-3.742 2.181 -2.187
-1.394 -4.258 -1.862
-2.757 -0.807 3.910
ATOMIC_POSITIONS crystal
B 0.500 0.000 0.000
Y 0.000 0.000 0.000
Tl 0.500 0.500 0.500
B 0.000 0.500 0.000
B 0.000 0.000 0.500